DFT (PBE) results for a geometry-optimized Ta3MnAl structure.

Computed properties:
energy above the most stable polymorph in this dataset: 1.0340 eV/atom
DFT total energy: -7.970 eV per atom
energy of formation from the pure elements: 1.724 eV/atom

a = 4.641 Å, b = 4.641 Å, c = 4.641 Å
α = 90.00°, β = 90.00°, γ = 90.00°
Space group Pm-3m (No. 221)
Unique sites:
1 Ta 0.000 0.000 0.500 x3
2 Mn 0.500 0.500 0.500 x1
3 Al 0.000 0.000 0.000 x1